Zr6Fe2Ir: optimized geometry, PBE-GGA.

Unit cell a=7.6673 b=7.6673 c=7.6673 alpha=107.80 beta=109.97 gamma=110.65
Closest atoms and distances in Å follow each position.
Element x y z (fractional)
Zr: 0.5405 0.7273 0.8132  3 Fe 2.74-2.78, 1 Ir 2.89
Zr: 0.4595 0.2727 0.1868  3 Fe 2.74-2.78, 1 Ir 2.89
Zr: 0.0859 0.2727 0.8132  3 Fe 2.74-2.78, 1 Ir 2.89
Zr: 0.9141 0.7273 0.1868  3 Fe 2.74-2.78, 1 Ir 2.89
Zr: 0.8086 0.7509 0.5595  1 Fe 2.61, 2 Ir 2.81-2.82
Zr: 0.1914 0.2491 0.4405  1 Fe 2.61, 2 Ir 2.81-2.82
Zr: 0.1914 0.7509 0.9423  1 Fe 2.61, 2 Ir 2.81-2.82
Zr: 0.8086 0.2491 0.0577  1 Fe 2.61, 2 Ir 2.81-2.82
Zr: 0.6941 0.3687 0.6746  3 Fe 2.54-2.70
Zr: 0.3059 0.6313 0.3254  3 Fe 2.54-2.70
Zr: 0.3059 0.9805 0.6746  3 Fe 2.54-2.70
Zr: 0.6941 0.0195 0.3254  3 Fe 2.54-2.70
Fe: 0.5000 0.3846 0.8846  1 Fe 2.09
Fe: 0.5000 0.6154 0.1154  1 Fe 2.09
Fe: 0.6584 0.0000 0.6584  8 Zr 2.61-2.74, 1 Fe 2.79
Fe: 0.3416 0.0000 0.3416  8 Zr 2.61-2.74, 1 Fe 2.79
Ir: 0.0000 0.5000 0.5000  8 Zr 2.82-3.10
Ir: 0.0000 0.0000 0.0000  8 Zr 2.81-2.89, 2 Fe 3.01

Energy of formation = -0.30 eV per atom
Calculated volume = 19.3 Å³ per atom